[1]
14
Lattice="6.708 0.000 0.000 0.000 6.708 0.000 0.000 0.000 4.165" Properties=species:S:1:pos:R:3 comment="GGA-PBE BaNb5O8, optimized geometry" raw_formation_energy_ev_per_atom=-2.408 space_group="P4/m, No. 83" final_energy_ev_per_cell=-125.6 pbc="T T T"
Nb 3.354 3.354 0.000
Nb 4.011 5.285 2.082
Nb 2.697 1.424 2.082
Nb 1.424 4.011 2.082
Nb 5.285 2.697 2.082
O 2.599 1.374 0.000
O 4.686 0.667 2.082
O 6.041 4.686 2.082
O 0.667 2.022 2.082
O 4.109 5.334 0.000
O 2.022 6.041 2.082
O 5.334 2.599 0.000
O 1.374 4.109 0.000
Ba 0.000 0.000 0.000



[2]
5
Lattice="5.075 0.000 0.000 0.000 5.075 0.000 0.000 0.000 5.075" Properties=species:S:1:pos:R:3 comment="GGA-PBE BaNb3O, optimized geometry" raw_formation_energy_ev_per_atom=3.037 e_above_lowest_polymorph_ev_per_fu=14.34 space_group="Pm-3m, No. 221" final_energy_ev_per_cell=-21.9 pbc="T T T"
O 2.538 2.538 2.538
Nb 2.538 0.000 0.000
Nb 0.000 0.000 2.538
Nb 0.000 2.538 0.000
Ba 0.000 0.000 0.000



[3]
46
Lattice="-4.699 3.458 -1.505 0.336 -3.404 -8.874 -6.499 -7.659 2.692" Properties=species:S:1:pos:R:3 comment="GGA-PBE BaNb8O14, optimized geometry" raw_formation_energy_ev_per_atom=-2.445 e_above_lowest_polymorph_ev_per_fu=0.10 space_group="Pbam, No. 55" final_energy_ev_per_cell=-416.3 pbc="T T T"
Ba -2.182 0.027 -5.189
Ba -5.599 -2.100 0.594
Nb -0.939 -2.560 -2.952
Nb -4.277 -5.487 0.745
Nb -9.399 -4.967 0.289
Nb -6.973 -4.008 -5.084
Nb -4.321 -2.949 -5.346
Nb -6.541 -4.657 -2.341
Nb -7.483 -7.668 -6.318
Nb -4.798 -5.608 -4.387
Nb -3.379 0.062 -1.369
Nb -7.224 -6.567 0.985
Nb -1.464 -2.639 -7.975
Nb -3.638 -1.038 -8.672
Nb -6.064 -1.997 -3.299
Nb -5.224 -8.504 -3.230
Nb -1.886 -5.576 -6.927
Nb -3.889 -3.598 -2.603
O -6.042 -4.862 1.579
O -2.503 -4.449 -8.524
O -4.945 -0.991 -4.847
O -2.628 -2.696 -4.105
O -4.006 1.054 -3.165
O 0.000 0.000 0.000
O 0.168 -1.702 -4.437
O -8.234 -4.909 -3.582
O -0.895 -3.975 -6.342
O -3.111 -1.995 -6.933
O -5.917 -6.614 -2.840
O -4.910 -4.465 -0.961
O -6.856 -8.659 -4.522
O -6.357 -5.868 -5.699
O -9.206 -6.930 -5.274
O -4.820 -2.744 -9.266
O -3.081 -5.532 -3.091
O -4.157 -7.679 -4.668
O -5.268 -7.089 0.160
O -1.656 -0.676 -2.412
O -7.260 -2.736 -1.713
O -7.751 -5.611 -0.754
O -4.506 -1.738 -1.988
O -2.006 -3.384 -1.514
O -3.249 -3.830 1.346
O -8.359 -3.157 0.838
O -5.953 -3.140 -6.726
O -3.602 -4.870 -5.974



[4]
39
Lattice="-3.309 4.063 2.785 -2.559 -3.913 -3.654 -2.497 -12.160 14.772" Properties=species:S:1:pos:R:3 comment="GGA-PBE Ba8Nb7O24, optimized geometry" raw_formation_energy_ev_per_atom=-2.782 space_group="P3m1, No. 156" final_energy_ev_per_cell=-313.4 pbc="T T T"
Nb -3.270 -3.496 1.216
Nb -4.461 -5.423 8.933
Nb -4.545 -9.704 8.757
Nb -1.095 -5.331 6.476
Nb -0.151 -0.736 0.895
Nb -3.606 -5.133 3.204
Nb -5.391 -9.951 14.434
O -2.328 -5.209 4.833
O -3.625 -7.192 2.981
O -5.302 -5.133 4.393
O -3.210 2.632 1.870
O -4.506 0.650 0.019
O -4.427 -3.327 9.062
O -3.225 -5.502 10.517
O -4.797 -4.922 1.481
O -5.701 -5.275 7.244
O -3.003 -4.172 -0.701
O -2.780 -5.349 7.676
O -1.534 0.575 0.459
O -4.532 -11.543 8.357
O -4.481 -7.423 8.723
O -3.559 -3.029 3.249
O -6.106 -5.428 10.090
O -3.279 -9.626 10.147
O -4.689 -2.103 0.717
O -5.151 -10.610 12.698
O -1.699 -2.179 1.160
O -1.957 -4.995 1.901
O -6.153 -9.553 9.722
O -6.712 -8.694 14.012
O -3.944 -8.764 14.421
Ba -0.624 -3.036 3.688
Ba -2.127 -10.359 12.584
Ba -4.064 -7.366 5.917
Ba -5.277 -13.273 13.092
Ba -1.572 -7.652 9.296
Ba -3.393 -0.223 2.615
Ba -4.939 -7.747 11.756
Ba -3.973 -3.044 6.042



[5]
8
Lattice="-4.689 4.491 1.198 -2.257 -0.712 -6.164 -6.346 -1.495 -1.040" Properties=species:S:1:pos:R:3 comment="GGA-PBE BaNb2O, optimized geometry" raw_formation_energy_ev_per_atom=-0.322 space_group="Fd-3m, No. 227" final_energy_ev_per_cell=-56.6 pbc="T T T"
Nb -3.630 1.224 -0.580
Nb -10.275 2.363 -3.588
Nb -4.753 0.863 -3.664
Nb -7.927 0.118 -4.179
Ba -7.254 2.443 -1.162
Ba 0.000 0.000 0.000
O -3.473 1.889 -2.483
O -6.038 -0.159 -4.844



[6]
8
Lattice="5.166 0.000 0.000 0.000 5.166 0.000 2.583 2.583 5.930" Properties=species:S:1:pos:R:3 comment="GGA-PBE BaNbO2, optimized geometry" raw_formation_energy_ev_per_atom=-1.772 e_above_lowest_polymorph_ev_per_fu=0.35 space_group="I-42d, No. 122" final_energy_ev_per_cell=-58.0 pbc="T T T"
Nb 2.583 5.166 2.965
Nb 2.583 2.583 0.000
O 2.167 3.874 1.482
O 3.874 4.750 4.447
O 2.999 1.291 1.482
O 6.457 5.582 4.447
Ba 0.000 0.000 0.000
Ba 5.166 2.583 2.965